[1]
An optimized crystal structure of NdTlPd, computed with PBE.

Raw total energy (eV/atom): -4.678
Symmetry: No. 12
Total magnetization (μB per cell): 0.00

abc: 4.5519 6.6299 5.7601
angles: 73.32 66.73 69.92
Closest atoms and distances in Å follow each position.
Positions (direct):
Nd 0.5623 0.6766 0.1988  5 Pd 3.03-3.21
Nd 0.4377 0.3234 0.8012  5 Pd 3.03-3.21
Tl 0.1754 0.9090 0.7402  3 Pd 2.83-2.97, 1 Tl 3.15
Tl 0.8246 0.0910 0.2598  3 Pd 2.83-2.97, 1 Tl 3.15
Pd 0.1501 0.3277 0.3721  1 Pd 2.73, 3 Tl 2.83-2.97, 1 Nd 3.03
Pd 0.8499 0.6723 0.6279  1 Pd 2.73, 3 Tl 2.83-2.97, 1 Nd 3.03

***

[2]
An optimized crystal structure of NdTmTlPd, computed with PBE.

Raw total energy (eV/atom): -4.707
Symmetry: No. 216
Total magnetization (μB per cell): 0.00

abc: 5.2323 5.2323 5.2323
angles: 60.00 60.00 60.00
Closest atoms and distances in Å follow each position.
Positions (direct):
Tl 0.0000 0.0000 0.0000  4 Nd 3.20, 4 Tm 3.20
Tm 0.2500 0.2500 0.2500  4 Tl 3.20, 4 Pd 3.20
Nd 0.7500 0.7500 0.7500  4 Tl 3.20, 4 Pd 3.20
Pd 0.5000 0.5000 0.5000  4 Tm 3.20, 4 Nd 3.20

***

[3]
An optimized crystal structure of NdYTlPd, computed with PBE.

Raw total energy (eV/atom): -5.214
Symmetry: No. 216
Total magnetization (μB per cell): 0.00

abc: 5.2688 5.2688 5.2688
angles: 60.00 60.00 60.00
Closest atoms and distances in Å follow each position.
Positions (direct):
Y 0.5000 0.5000 0.5000  4 Pd 3.23, 4 Tl 3.23
Tl 0.7500 0.7500 0.7500  4 Nd 3.23, 4 Y 3.23
Nd 0.0000 0.0000 0.0000  4 Tl 3.23, 4 Pd 3.23
Pd 0.2500 0.2500 0.2500  4 Nd 3.23, 4 Y 3.23

***

[4]
An optimized crystal structure of NdTm3Pd, computed with PBE.

Raw total energy (eV/atom): -4.964
Symmetry: No. 12
Total magnetization (μB per cell): 0.00

abc: 7.5661 7.5661 7.1110
angles: 101.63 116.22 113.28
Closest atoms and distances in Å follow each position.
Positions (direct):
Nd 0.7366 0.0437 0.7803  1 Pd 2.99
Nd 0.2634 0.9563 0.2197  1 Pd 2.99
Tm 0.8334 0.1002 0.3375  2 Pd 2.77-2.97
Tm 0.2373 0.5041 0.3375  2 Pd 2.77-2.97
Tm 0.7627 0.4959 0.6625  2 Pd 2.77-2.97
Tm 0.6979 0.4255 0.1233  2 Pd 2.81-2.93
Tm 0.1666 0.8998 0.6625  2 Pd 2.77-2.97
Tm 0.3021 0.5745 0.8767  2 Pd 2.81-2.93
Pd 0.6530 0.7222 0.3752  6 Tm 2.77-2.97, 1 Nd 2.99
Pd 0.3470 0.2778 0.6248  6 Tm 2.77-2.97, 1 Nd 2.99

***

[5]
An optimized crystal structure of NdTmPd2, computed with PBE.

Raw total energy (eV/atom): -5.739
Symmetry: No. 123
Total magnetization (μB per cell): 0.00

abc: 3.4700 3.4700 7.3554
angles: 90.00 90.00 90.00
Closest atoms and distances in Å follow each position.
Positions (direct):
Tm 0.5000 0.5000 0.0000  8 Pd 2.96
Nd 0.5000 0.5000 0.5000  8 Pd 3.19, 4 Nd 3.47
Pd 0.0000 0.0000 0.7761  4 Tm 2.96, 4 Nd 3.19, 1 Pd 3.29
Pd 0.0000 0.0000 0.2239  4 Tm 2.96, 4 Nd 3.19, 1 Pd 3.29

***

[6]
An optimized crystal structure of NdTm2Pd3, computed with PBE.

Raw total energy (eV/atom): -5.754
Symmetry: No. 123
Total magnetization (μB per cell): 0.00

abc: 3.4745 3.4745 10.7717
angles: 90.00 90.00 90.00
Closest atoms and distances in Å follow each position.
Positions (direct):
Nd 0.5000 0.5000 0.5000  8 Pd 3.19, 4 Nd 3.47
Tm 0.5000 0.5000 0.8388  8 Pd 2.94-3.01
Tm 0.5000 0.5000 0.1612  8 Pd 2.94-3.01
Pd 0.0000 0.0000 0.0000  8 Tm 3.01, 2 Pd 3.35
Pd 0.0000 0.0000 0.6892  4 Tm 2.94, 4 Nd 3.19
Pd 0.0000 0.0000 0.3108  4 Tm 2.94, 4 Nd 3.19

***

[7]
An optimized crystal structure of NdTmPd2, computed with PBE.

Raw total energy (eV/atom): -5.726
Symmetry: No. 225
Total magnetization (μB per cell): 0.00

abc: 5.0218 5.0218 5.0218
angles: 60.00 60.00 60.00
Closest atoms and distances in Å follow each position.
Positions (direct):
Tm 0.0000 0.0000 0.0000  8 Pd 3.08
Nd 0.5000 0.5000 0.5000  8 Pd 3.08
Pd 0.2500 0.2500 0.2500  4 Nd 3.08, 4 Tm 3.08
Pd 0.7500 0.7500 0.7500  4 Tm 3.08, 4 Nd 3.08

***

[8]
An optimized crystal structure of Nd2Tm3Pd2, computed with PBE.

Raw total energy (eV/atom): -5.299
Symmetry: No. 12
Total magnetization (μB per cell): 0.00

abc: 3.7054 6.5685 9.1076
angles: 116.84 90.00 106.38
Closest atoms and distances in Å follow each position.
Positions (direct):
Nd 0.8461 0.6922 0.1866  2 Pd 3.17
Nd 0.1539 0.3078 0.8134  2 Pd 3.17
Tm 0.5000 0.0000 0.0000  4 Pd 2.87
Tm 0.6156 0.2312 0.4422  3 Pd 2.86-2.92
Tm 0.3844 0.7688 0.5578  3 Pd 2.86-2.92
Pd 0.8367 0.6733 0.7592  5 Tm 2.86-2.92, 2 Nd 3.17
Pd 0.1633 0.3267 0.2408  5 Tm 2.86-2.92, 2 Nd 3.17